Entry 1:
# Tm3Sc2In3 | the Alexandria database | GGA-PBE | optimized geometry
# Total moment in μB per cell: 0.004
# Crystal system: orthorhombic
# Energy in eV/atom: -4.62
data_Tm3Sc2In3
_cell_length_a 4.3374
_cell_length_b 4.7520
_cell_length_c 19.6879
_cell_angle_alpha 90.00
_cell_angle_beta 90.00
_cell_angle_gamma 90.00
_symmetry_space_group_name_H-M 'I m m m'
_symmetry_Int_Tables_number 71
_symmetry_space_group_name_Hall '-I 2 2'
loop_
_atom_site_label
_atom_site_type_symbol
_atom_site_fract_x
_atom_site_fract_y
_atom_site_fract_z
Tm1 Tm 0.0000 0.0000 0.0000
Tm2 Tm 0.0000 0.5000 0.1226
Sc1 Sc 0.0000 0.0000 0.2424
In1 In 0.0000 0.0000 0.5000
In2 In 0.0000 0.5000 0.3671

Entry 2:
# Tm3Sc2In4 | the Alexandria database | GGA-PBE | optimized geometry
# Total moment in μB per cell: 0.000
# Crystal system: orthorhombic
# Energy in eV/atom: -4.29
data_Tm3Sc2In4
_cell_length_a 6.6861
_cell_length_b 14.5665
_cell_length_c 10.0106
_cell_angle_alpha 90.00
_cell_angle_beta 90.00
_cell_angle_gamma 90.00
_symmetry_space_group_name_H-M 'C m c e'
_symmetry_Int_Tables_number 64
_symmetry_space_group_name_Hall '-C 2ac 2'
loop_
_atom_site_label
_atom_site_type_symbol
_atom_site_fract_x
_atom_site_fract_y
_atom_site_fract_z
Tm1 Tm 0.0000 0.0000 0.0000
Tm2 Tm 0.2500 0.2481 0.2500
Sc1 Sc 0.0000 0.1008 0.5018
In1 In 0.0000 0.2013 0.9992
In2 In 0.2500 0.9996 0.2500

Entry 3:
# TmSc3In | the Alexandria database | GGA-PBE | optimized geometry
# Total moment in μB per cell: 0.000
# Crystal system: orthorhombic
# Energy in eV/atom: -5.35
# Energy relative to the lowest polymorph listed for this composition in meV per atom: 0.0
data_TmSc3In
_cell_length_a 5.0556
_cell_length_b 7.7153
_cell_length_c 6.5870
_cell_angle_alpha 90.00
_cell_angle_beta 90.00
_cell_angle_gamma 90.00
_symmetry_space_group_name_H-M 'P m m n'
_symmetry_Int_Tables_number 59
loop_
_symmetry_equiv_pos_as_xyz
'x,y,z'
'-x,-y,-z'
'-x+1/2,-y+1/2,z'
'x+1/2,y+1/2,-z'
'x+1/2,-y,-z'
'-x+1/2,y,z'
'-x,y+1/2,-z'
'x,-y+1/2,z'
loop_
_atom_site_label
_atom_site_type_symbol
_atom_site_fract_x
_atom_site_fract_y
_atom_site_fract_z
Tm1 Tm 0.2500 0.2500 0.2116
Sc1 Sc 0.2500 0.0597 0.7362
Sc2 Sc 0.2500 0.7500 0.0582
In1 In 0.2500 0.7500 0.4802

Entry 4:
# Tm2ScIn4 | the Alexandria database | GGA-PBE | optimized geometry
# Total moment in μB per cell: 2.118
# Crystal system: tetragonal
# Energy in eV/atom: -3.60
# Energy relative to the lowest polymorph listed for this composition in meV per atom: 452.6
data_Tm2ScIn4
_cell_length_a 5.3893
_cell_length_b 5.3893
_cell_length_c 15.4280
_cell_angle_alpha 90.00
_cell_angle_beta 90.00
_cell_angle_gamma 90.00
_symmetry_space_group_name_H-M 'I 4/m m m'
_symmetry_Int_Tables_number 139
_symmetry_space_group_name_Hall '-I 4 2'
loop_
_atom_site_label
_atom_site_type_symbol
_atom_site_fract_x
_atom_site_fract_y
_atom_site_fract_z
Tm1 Tm 0.0000 0.0000 0.1098
Sc1 Sc 0.0000 0.0000 0.5000
In1 In 0.0000 0.0000 0.3109
In2 In 0.0000 0.5000 0.0000

- Which value of total moment does entry 2 give?
  0.000 μB per cell

- Which of these has the highest total moment?
  Tm2ScIn4

- Which of these has the lowest energy?
  TmSc3In